[1]
Ga2GePd2: relaxed, GGA-PBE.

Unit cell a=3.670 b=3.670 c=6.886 alpha=74.55 beta=74.55 gamma=90.00
Fractional positions:
Pd: 0.608 0.608 0.785
Pd: 0.392 0.392 0.215
Ga: 0.250 0.750 0.500
Ga: 0.750 0.250 0.500
Ge: 0.000 0.000 0.000

Values from the calculation:
**Space-group type**: I4/mmm (139)
**E above lowest polymorph**: 0.513 eV/f.u.
**Density**: 8.21 g/cm3
**DFT total energy**: -4.48 eV per atom

***

[2]
NaTePbO6: relaxed, GGA-PBE.

Unit cell a=5.549 b=5.549 c=10.091 alpha=90.00 beta=90.00 gamma=120.00
Last column: magnetic moment on the atom in μB.
Fractional positions:
O: 0.035 0.650 0.860  0.15
O: 0.350 0.965 0.640  0.15
O: 0.350 0.385 0.860  0.15
O: 0.615 0.965 0.860  0.15
O: 0.650 0.035 0.360  0.15
O: 0.035 0.385 0.640  0.15
O: 0.385 0.350 0.360  0.15
O: 0.650 0.615 0.140  0.15
O: 0.965 0.615 0.360  0.15
O: 0.965 0.350 0.140  0.15
O: 0.615 0.650 0.640  0.15
O: 0.385 0.035 0.140  0.15
Pb: 0.667 0.333 0.750  -0.01
Pb: 0.333 0.667 0.250  -0.01
Na: 0.000 0.000 0.000  0.00
Na: 0.000 0.000 0.500  0.00
Te: 0.667 0.333 0.250  -0.02
Te: 0.333 0.667 0.750  -0.02

Values from the calculation:
**Space-group type**: P-31c (163)
**E_form (uncorrected)**: -0.920 eV/atom
**Density**: 5.60 g/cm3
**DFT total energy**: -5.13 eV per atom

***

[3]
LiAlP2: relaxed, GGA-PBE.

Unit cell a=2.885 b=2.885 c=7.247 alpha=90.00 beta=90.00 gamma=90.00
Fractional positions:
P: 0.000 0.000 0.012
P: 0.000 0.000 0.488
Li: 0.500 0.500 0.750
Al: 0.500 0.500 0.250

Values from the calculation:
**Space-group type**: P4/mmm (123)
**Density**: 2.64 g/cm3
**DFT total energy**: -4.16 eV per atom

***

[4]
Ca2CuBN: relaxed, GGA-PBE.

Unit cell a=4.859 b=3.668 c=4.859 alpha=90.00 beta=90.00 gamma=90.00
Last column: magnetic moment on the atom in μB.
Fractional positions:
N: 0.000 0.000 0.000  0.09
Cu: 0.000 0.500 0.000  0.08
Ca: 0.000 0.000 0.500  0.02
Ca: 0.500 0.000 0.000  0.04
B: 0.500 0.500 0.500  0.21

Values from the calculation:
**Space-group type**: P4/mmm (123)
**E_form (uncorrected)**: 0.120 eV/atom
**E above lowest polymorph**: 0.000 eV/f.u.
**Density**: 3.23 g/cm3
**DFT total energy**: -4.50 eV per atom

***

[5]
MgSi: relaxed, GGA-PBE.

Unit cell a=4.524 b=5.365 c=10.088 alpha=80.52 beta=78.46 gamma=79.08
Fractional positions:
Mg: 0.841 0.348 0.916
Mg: 0.761 0.134 0.614
Mg: 0.747 0.135 0.227
Mg: 0.239 0.866 0.386
Mg: 0.159 0.652 0.084
Mg: 0.253 0.865 0.773
Si: 0.278 0.343 0.425
Si: 0.196 0.432 0.661
Si: 0.321 0.134 0.075
Si: 0.804 0.568 0.339
Si: 0.722 0.657 0.575
Si: 0.679 0.866 0.925

Values from the calculation:
**Space-group type**: P-1 (2)
**E_form (uncorrected)**: 0.073 eV/atom
**Density**: 2.24 g/cm3
**DFT total energy**: -3.44 eV per atom

***

[6]
NdY6Tm4: relaxed, GGA-PBE.

Unit cell a=5.272 b=9.064 c=9.064 alpha=120.00 beta=90.00 gamma=90.00
Last column: magnetic moment on the atom in μB.
Fractional positions:
Y: 0.500 0.589 0.794  0.04
Y: 0.000 0.535 0.465  0.06
Y: 0.500 0.206 0.411  0.04
Y: 0.500 0.206 0.794  0.04
Y: 0.000 0.535 0.070  0.06
Y: 0.000 0.930 0.465  0.06
Tm: 0.500 0.794 0.589  0.13
Tm: 0.500 0.794 0.206  0.13
Tm: 0.000 0.333 0.667  -0.08
Tm: 0.500 0.411 0.206  0.13
Nd: 0.000 0.000 0.000  0.11

Values from the calculation:
**Space-group type**: P-6m2 (187)
**E above lowest polymorph**: 2.444 eV/f.u.
**Density**: 5.99 g/cm3
**DFT total energy**: -5.25 eV per atom

***

Which of these has the lowest DFT total energy?
NdY6Tm4